# MnIn2F8 GGA+U relaxed
# Density, g cm⁻³: 4.30
# Energy relative to the lowest polymorph listed for this composition, eV per formula unit: 1.07
data_MnIn2F8
_cell_length_a 4.2972
_cell_length_b 6.7344
_cell_length_c 6.7348
_cell_angle_alpha 120.01
_cell_angle_beta 90.00
_cell_angle_gamma 90.00
_symmetry_space_group_name_H-M 'P 1'
_symmetry_Int_Tables_number 1
loop_
_symmetry_equiv_pos_as_xyz
'x,y,z'
loop_
_atom_site_label
_atom_site_type_symbol
_atom_site_fract_x
_atom_site_fract_y
_atom_site_fract_z
In1 In 0.2470 0.3333 0.6667
In2 In 0.7530 0.6667 0.3333
F1 F 0.2458 0.1608 0.8410
F2 F 0.7542 0.3197 0.1607
F3 F 0.2458 0.6803 0.8393
F4 F 0.7542 0.8409 0.6802
F5 F 0.7457 0.3334 0.6667
F6 F 0.2543 0.6666 0.3333
F7 F 0.2458 0.1590 0.3198
F8 F 0.7542 0.8392 0.1590
Mn1 Mn 0.0000 0.0000 0.0000